No. 1
Entry from Alexandria: an optimized crystal structure of YPd3S (PBEsol).

The calculation puts the uncorrected formation energy at 0.91 eV/atom. Its crystal system is cubic. As for the total energy: -4.902 eV/atom. The calculation puts the mass density at 6.25 g cm⁻³.

Lattice parameters (Å, degrees): 4.891 4.891 4.891 90.00 90.00 90.00
Space group Pm-3m (No. 221)
Inequivalent atoms, fractional coordinates:
Y 0.000 0.000 0.000 [1 per cell]
Pd 0.000 0.000 0.500 [3 per cell]
S 0.500 0.500 0.500 [1 per cell]



No. 2
Entry from Alexandria: an optimized crystal structure of Sb2Pd (PBEsol).

The calculation puts the uncorrected formation energy at -0.38 eV/atom. Its crystal system is cubic. As for the total energy: -5.408 eV/atom. The calculation puts the mass density at 8.63 g cm⁻³.

Lattice parameters (Å, degrees): 6.459 6.459 6.459 90.00 90.00 90.00
Space group Pa-3 (No. 205)
Inequivalent atoms, fractional coordinates:
Sb 0.127 0.127 0.127 [8 per cell]
Pd 0.000 0.000 0.500 [4 per cell]



No. 3
Entry from Alexandria: an optimized crystal structure of SbPd (PBEsol).

The calculation puts the uncorrected formation energy at -0.47 eV/atom. Its crystal system is hexagonal. As for the total energy: -5.725 eV/atom. The calculation puts the mass density at 9.43 g cm⁻³.

Lattice parameters (Å, degrees): 4.0854 4.0854 5.5612 90.00 90.00 120.00
Space group P6_3/mmc (No. 194)
Inequivalent atoms, fractional coordinates:
Sb 0.3333 0.6667 0.2500 [2 per cell]
Pd 0.0000 0.0000 0.0000 [2 per cell]



No. 4
Entry from Alexandria: an optimized crystal structure of SbPd3 (PBEsol).

The calculation puts the uncorrected formation energy at -0.39 eV/atom. Its crystal system is hexagonal. As for the total energy: -5.999 eV/atom. The calculation puts the mass density at 11.56 g cm⁻³.

Lattice parameters (Å, degrees): 5.6388 5.6388 4.6026 90.00 90.00 120.00
Space group P6_3/mmc (No. 194)
Inequivalent atoms, fractional coordinates:
Sb 0.3333 0.6667 0.2500 [2 per cell]
Pd 0.1671 0.3343 0.7500 [6 per cell]



No. 5
Entry from Alexandria: an optimized crystal structure of SbPd3 (PBEsol).

The calculation puts the uncorrected formation energy at -0.39 eV/atom. Its crystal system is cubic. As for the total energy: -6.000 eV/atom. The calculation puts the mass density at 11.57 g cm⁻³.

Lattice parameters (Å, degrees): 6.327 6.327 6.327 90.00 90.00 90.00
Space group Fm-3m (No. 225)
Inequivalent atoms, fractional coordinates:
Sb 0.000 0.000 0.000 [4 per cell]
Pd 0.000 0.000 0.500 [4 per cell]
Pd 0.250 0.250 0.250 [8 per cell]



No. 6
Entry from Alexandria: an optimized crystal structure of SbPd3 (PBEsol).

The calculation puts the uncorrected formation energy at -0.39 eV/atom. Its crystal system is cubic. As for the total energy: -6.000 eV/atom. The calculation puts the mass density at 11.55 g cm⁻³.

Lattice parameters (Å, degrees): 3.988 3.988 3.988 90.00 90.00 90.00
Space group Pm-3m (No. 221)
Inequivalent atoms, fractional coordinates:
Sb 0.000 0.000 0.000 [1 per cell]
Pd 0.000 0.500 0.500 [3 per cell]



No. 7
Entry from Alexandria: an optimized crystal structure of ScSbPd2 (PBEsol).

The calculation puts the uncorrected formation energy at -0.52 eV/atom. Its crystal system is tetragonal. As for the total energy: -6.291 eV/atom. The calculation puts the mass density at 8.24 g cm⁻³.

Lattice parameters (Å, degrees): 4.109 4.109 18.114 90.00 90.00 90.00
Space group I-42d (No. 122)
Inequivalent atoms, fractional coordinates:
Sc 0.000 0.000 0.000 [4 per cell]
Sb 0.000 0.000 0.500 [4 per cell]
Pd 0.244 0.250 0.625 [8 per cell]



No. 8
Entry from Alexandria: an optimized crystal structure of ScSb2TePd (PBEsol).

The calculation puts the uncorrected formation energy at 0.46 eV/atom. Its crystal system is tetragonal. As for the total energy: -4.579 eV/atom. The calculation puts the mass density at 5.80 g cm⁻³.

Lattice parameters (Å, degrees): 5.322 5.322 5.280 90.00 90.00 90.00
Space group P4/mmm (No. 123)
Inequivalent atoms, fractional coordinates:
Sc 0.000 0.000 0.000 [1 per cell]
Sb 0.000 0.500 0.000 [2 per cell]
Te 0.000 0.000 0.500 [1 per cell]
Pd 0.500 0.500 0.500 [1 per cell]



No. 9
Entry from Alexandria: an optimized crystal structure of SbPdSe2 (PBEsol).

The calculation puts the uncorrected formation energy at 0.11 eV/atom. Its crystal system is trigonal. As for the total energy: -4.442 eV/atom. The calculation puts the mass density at 6.09 g cm⁻³.

Lattice parameters (Å, degrees): 3.8985 3.8985 23.9974 90.00 90.00 120.00
Space group R-3m (No. 166, hexagonal axes)
Inequivalent atoms, fractional coordinates:
Sb 0.0000 0.0000 0.0000 [3 per cell]
Pd 0.0000 0.0000 0.5000 [3 per cell]
Se 0.0000 0.0000 0.4025 [6 per cell]



No. 10
Entry from Alexandria: an optimized crystal structure of SbPdSe (PBEsol).

The calculation puts the uncorrected formation energy at -0.45 eV/atom. Its crystal system is cubic. As for the total energy: -5.241 eV/atom. The calculation puts the mass density at 8.12 g cm⁻³.

Lattice parameters (Å, degrees): 6.309 6.309 6.309 90.00 90.00 90.00
Space group P2_13 (No. 198)
Inequivalent atoms, fractional coordinates:
Sb 0.124 0.124 0.124 [4 per cell]
Pd 0.244 0.256 0.744 [4 per cell]
Se 0.132 0.632 0.868 [4 per cell]



No. 11
Entry from Alexandria: an optimized crystal structure of ZrSbPdSe2 (PBEsol).

The calculation puts the uncorrected formation energy at 0.23 eV/atom. Its crystal system is tetragonal. As for the total energy: -5.229 eV/atom. The calculation puts the mass density at 5.65 g cm⁻³.

Lattice parameters (Å, degrees): 5.020 5.020 5.565 90.00 90.00 90.00
Space group P4/mmm (No. 123)
Inequivalent atoms, fractional coordinates:
Zr 0.000 0.000 0.000 [1 per cell]
Sb 0.000 0.000 0.500 [1 per cell]
Pd 0.500 0.500 0.500 [1 per cell]
Se 0.000 0.500 0.000 [2 per cell]



No. 12
Entry from Alexandria: an optimized crystal structure of SmSbPd (PBEsol).

The calculation puts the uncorrected formation energy at -1.07 eV/atom. Its crystal system is hexagonal. As for the total energy: -6.275 eV/atom. The calculation puts the mass density at 9.18 g cm⁻³.

Lattice parameters (Å, degrees): 4.5017 4.5017 15.6143 90.00 90.00 120.00
Space group P6_3/mmc (No. 194)
Inequivalent atoms, fractional coordinates:
Sm 0.0000 0.0000 0.0000 [2 per cell]
Sm 0.0000 0.0000 0.2500 [2 per cell]
Sb 0.3333 0.6667 0.1168 [4 per cell]
Pd 0.3333 0.6667 0.6425 [4 per cell]